[1]
Density functional theory data (PBE-GGA) for an optimized crystal structure of Y2MgAl.

Lattice parameters (Å, degrees): 7.4246 7.4246 7.4246 90.00 90.00 90.00
Space group F-43m (No. 216)
Unique sites:
Y (0.0000, 0.0000, 0.0000) [4 per cell]
Y (0.2500, 0.2500, 0.2500) [4 per cell]
Mg (0.2500, 0.2500, 0.7500) [4 per cell]
Al (0.0000, 0.0000, 0.5000) [4 per cell]

Properties
M_tot = 0.00 μB/cell
DFT formation energy = 0.08 eV/atom
E above lowest polymorph = 0.379 eV/atom

---

[2]
Density functional theory data (PBE-GGA) for an optimized crystal structure of MgP2Pb.

Lattice parameters (Å, degrees): 5.7911 7.5906 3.7696 90.00 90.00 90.00
Space group Cmmm (No. 65)
Unique sites:
Mg (0.0000, 0.0000, 0.0000) [2 per cell]
P (0.2500, 0.2500, 0.5000) [4 per cell]
Pb (0.0000, 0.5000, 0.0000) [2 per cell]

Properties
M_tot = 0.00 μB/cell
DFT formation energy = 0.20 eV/atom

---

[3]
Density functional theory data (PBE-GGA) for an optimized crystal structure of LiAcCd2.

Lattice parameters (Å, degrees): 5.9470 8.2285 4.5064 90.00 90.00 90.00
Space group Cmmm (No. 65)
Unique sites:
Li (0.0000, 0.0000, 0.0000) [2 per cell]
Ac (0.0000, 0.5000, 0.0000) [2 per cell]
Cd (0.0000, 0.1805, 0.5000) [4 per cell]

Properties
M_tot = 0.00 μB/cell
DFT formation energy = -0.03 eV/atom
E above lowest polymorph = 0.232 eV/atom

---

[4]
Density functional theory data (PBE-GGA) for an optimized crystal structure of Pm5Ho3Tm4.

Lattice parameters (Å, degrees): 11.4077 5.4755 12.9340 90.00 104.66 90.00
Space group C2/m (No. 12)
Unique sites:
Pm (0.0000, 0.0000, 0.0000) [2 per cell]
Pm (0.1419, 0.0000, 0.4658) [4 per cell]
Pm (0.2330, 0.5000, 0.8903) [4 per cell]
Ho (0.0000, 0.5000, 0.0000) [2 per cell]
Ho (0.1605, 0.5000, 0.2690) [4 per cell]
Tm (0.0513, 0.0000, 0.7765) [4 per cell]
Tm (0.0918, 0.5000, 0.6251) [4 per cell]

Properties
M_tot = 0.65 μB/cell
DFT formation energy = 0.23 eV/atom